Al13Si5H18ClO38 | PBEsol | optimized geometry

The value obtained for the volume is 9.07 A^3/atom. The energy comes out at -6.850 eV per atom.

It has space group F-43m (No. 216), with a = 13.962 Å, b = 13.962 Å, c = 13.962 Å, α = 90.00°, β = 90.00° and γ = 90.00°. The asymmetric unit holds Al at (0.000, 0.000, 0.000), Al at (0.016, 0.164, 0.836), Si at (0.000, 0.000, 0.500), Si at (0.137, 0.137, 0.637), H at (0.055, 0.055, 0.271), H at (0.099, 0.250, 0.250), Cl at (0.250, 0.250, 0.250), O at (0.028, 0.250, 0.250), O at (0.068, 0.068, 0.568), O at (0.072, 0.072, 0.206), O at (0.075, 0.075, 0.925) and O at (0.111, 0.111, 0.749).